An optimized crystal structure of Mn3Fe2Si3O12. Source: the Alexandria database, functional PBE+U.

Cell: 11.962 11.962 11.962 Å, 90.00 90.00 90.00°
Space group Ia-3d (No. 230)
Asymmetric unit:
Mn (0.000, 0.250, 0.125) [24 per cell]
Fe (0.000, 0.000, 0.000) [16 per cell]
Si (0.000, 0.250, 0.375) [24 per cell]
O (0.036, 0.052, 0.657) [96 per cell]

Output
Total DFT energy (no corrections) ... -7.612 eV per atom
Total moment ... 200.000 μB/cell